Record 1
# V3O4F2 (PBEsol, optimized geometry)
# Energy relative to the lowest polymorph listed for this composition, eV per atom: 0.054
# Total magnetization, μB per cell: 5.00
# E_tot, eV/atom: -8.44
# Energy relative to the elements, uncorrected, meV/atom: -2468
data_V3O4F2
_chemical_formula_sum 'V3 O4 F2'
_symmetry_space_group_name_H-M 'P 1'
_symmetry_Int_Tables_number 1
_cell_length_a 4.943
_cell_length_b 4.983
_cell_length_c 5.360
_cell_angle_alpha 116.07
_cell_angle_beta 91.75
_cell_angle_gamma 118.89
loop_
_symmetry_equiv_pos_as_xyz
'x,y,z'
loop_
_atom_site_label
_atom_site_type_symbol
_atom_site_fract_x
_atom_site_fract_y
_atom_site_fract_z
_atom_site_occupancy
V1 V 0.000 0.000 0.000 1
V2 V 0.203 0.417 0.624 1
V3 V 0.704 0.355 0.056 1
O1 O 0.035 0.422 0.303 1
O2 O 0.286 0.229 0.843 1
O3 O 0.591 0.867 0.822 1
O4 O 0.950 0.549 0.847 1
F1 F 0.419 0.222 0.312 1
F2 F 0.825 0.862 0.312 1

---

Record 2
# VOF3 (PBEsol, optimized geometry)
# Total magnetization, μB per cell: 0.00
# E_tot, eV/atom: -6.77
# Energy relative to the elements, uncorrected, meV/atom: -2641
data_VOF3
_chemical_formula_sum 'V4 O4 F12'
_symmetry_space_group_name_H-M 'P -4 21 m'
_symmetry_Int_Tables_number 113
_cell_length_a 8.367
_cell_length_b 8.367
_cell_length_c 3.885
_cell_angle_alpha 90.00
_cell_angle_beta 90.00
_cell_angle_gamma 90.00
loop_
_symmetry_equiv_pos_as_xyz
'x,y,z'
'y,-x,-z'
'-x,-y,z'
'-y,x,-z'
'x+1/2,-y+1/2,-z'
'y+1/2,x+1/2,z'
'-x+1/2,y+1/2,-z'
'-y+1/2,-x+1/2,z'
loop_
_atom_site_label
_atom_site_type_symbol
_atom_site_fract_x
_atom_site_fract_y
_atom_site_fract_z
_atom_site_occupancy
V1 V 0.132 0.368 0.335 1
O1 O 0.124 0.376 0.745 1
F1 F 0.098 0.598 0.256 1
F2 F 0.106 0.168 0.252 1

---

Record 3
# V3O4F2 (PBEsol, optimized geometry)
# Energy relative to the lowest polymorph listed for this composition, eV per atom: 0.014
# Total magnetization, μB per cell: 10.00
# E_tot, eV/atom: -8.48
# Energy relative to the elements, uncorrected, meV/atom: -2508
data_V3O4F2
_chemical_formula_sum 'V6 O8 F4'
_symmetry_space_group_name_H-M 'P -1'
_symmetry_Int_Tables_number 2
_cell_length_a 5.417
_cell_length_b 5.452
_cell_length_c 7.148
_cell_angle_alpha 71.85
_cell_angle_beta 70.98
_cell_angle_gamma 73.52
loop_
_symmetry_equiv_pos_as_xyz
'x,y,z'
'-x,-y,-z'
loop_
_atom_site_label
_atom_site_type_symbol
_atom_site_fract_x
_atom_site_fract_y
_atom_site_fract_z
_atom_site_occupancy
V1 V 0.000 0.000 0.000 1
V2 V 0.000 0.000 0.500 1
V3 V 0.304 0.364 0.141 1
V4 V 0.342 0.369 0.663 1
O1 O 0.018 0.641 0.169 1
O2 O 0.103 0.107 0.198 1
O3 O 0.296 0.708 0.498 1
O4 O 0.433 0.445 0.862 1
F1 F 0.239 0.242 0.461 1
F2 F 0.377 0.967 0.827 1

---

Record 4
# V2O3F (PBEsol, optimized geometry)
# Energy relative to the lowest polymorph listed for this composition, eV per atom: 0.013
# Total magnetization, μB per cell: 24.03
# E_tot, eV/atom: -8.64
# Energy relative to the elements, uncorrected, meV/atom: -2487
data_V2O3F
_chemical_formula_sum 'V16 O24 F8'
_symmetry_space_group_name_H-M 'C m c m'
_symmetry_Int_Tables_number 63
_symmetry_space_group_name_Hall '-C 2c 2'
_cell_length_a 6.344
_cell_length_b 6.737
_cell_length_c 11.423
_cell_angle_alpha 90.00
_cell_angle_beta 90.00
_cell_angle_gamma 90.00
loop_
_atom_site_label
_atom_site_type_symbol
_atom_site_fract_x
_atom_site_fract_y
_atom_site_fract_z
_atom_site_occupancy
V1 V 0.000 0.000 0.000 1
V2 V 0.000 0.019 0.250 1
V3 V 0.000 0.470 0.126 1
O1 O 0.000 0.197 0.126 1
O2 O 0.199 0.500 0.000 1
O3 O 0.203 0.495 0.250 1
F1 F 0.000 0.205 0.625 1

---

Record 5
# V2O3F (PBEsol, optimized geometry)
# Energy relative to the lowest polymorph listed for this composition, eV per atom: 0.038
# Total magnetization, μB per cell: 16.05
# E_tot, eV/atom: -8.62
# Energy relative to the elements, uncorrected, meV/atom: -2462
data_V2O3F
_chemical_formula_sum 'V16 O24 F8'
_symmetry_space_group_name_H-M 'C 1 2/m 1'
_symmetry_Int_Tables_number 12
_cell_length_a 9.348
_cell_length_b 5.567
_cell_length_c 10.063
_cell_angle_alpha 90.00
_cell_angle_beta 112.69
_cell_angle_gamma 90.00
loop_
_symmetry_equiv_pos_as_xyz
'x,y,z'
'-x,-y,-z'
'-x,y,-z'
'x,-y,z'
'x+1/2,y+1/2,z'
'-x+1/2,-y+1/2,-z'
'-x+1/2,y+1/2,-z'
'x+1/2,-y+1/2,z'
loop_
_atom_site_label
_atom_site_type_symbol
_atom_site_fract_x
_atom_site_fract_y
_atom_site_fract_z
_atom_site_occupancy
V1 V 0.000 0.000 0.000 1
V2 V 0.000 0.500 0.000 1
V3 V 0.134 0.217 0.753 1
V4 V 0.197 0.500 0.470 1
O1 O 0.006 0.500 0.344 1
O2 O 0.055 0.246 0.897 1
O3 O 0.203 0.245 0.598 1
O4 O 0.210 0.500 0.145 1
F1 F 0.033 0.000 0.357 1
F2 F 0.218 0.000 0.149 1

---

Record 6
# V2O3F (PBEsol, optimized geometry)
# Energy relative to the lowest polymorph listed for this composition, eV per atom: 0.055
# Total magnetization, μB per cell: 12.02
# E_tot, eV/atom: -8.60
# Energy relative to the elements, uncorrected, meV/atom: -2445
data_V2O3F
_chemical_formula_sum 'V8 O12 F4'
_symmetry_space_group_name_H-M 'P 1 21/c 1'
_symmetry_Int_Tables_number 14
_cell_length_a 5.394
_cell_length_b 4.572
_cell_length_c 9.847
_cell_angle_alpha 90.00
_cell_angle_beta 94.54
_cell_angle_gamma 90.00
loop_
_symmetry_equiv_pos_as_xyz
'x,y,z'
'-x,-y,-z'
'-x,y+1/2,-z+1/2'
'x,-y+1/2,z+1/2'
loop_
_atom_site_label
_atom_site_type_symbol
_atom_site_fract_x
_atom_site_fract_y
_atom_site_fract_z
_atom_site_occupancy
V1 V 0.000 0.000 0.000 1
V2 V 0.245 0.019 0.734 1
V3 V 0.500 0.000 0.500 1
O1 O 0.021 0.699 0.677 1
O2 O 0.220 0.204 0.570 1
O3 O 0.476 0.197 0.326 1
F1 F 0.279 0.697 0.421 1

---

Record 7
# V3O5F (PBEsol, optimized geometry)
# Energy relative to the lowest polymorph listed for this composition, eV per atom: 0.007
# Total magnetization, μB per cell: 16.07
# E_tot, eV/atom: -8.81
# Energy relative to the elements, uncorrected, meV/atom: -2470
data_V3O5F
_chemical_formula_sum 'V12 O20 F4'
_symmetry_space_group_name_H-M 'C 1 m 1'
_symmetry_Int_Tables_number 8
_cell_length_a 8.733
_cell_length_b 6.349
_cell_length_c 7.167
_cell_angle_alpha 90.00
_cell_angle_beta 115.48
_cell_angle_gamma 90.00
loop_
_symmetry_equiv_pos_as_xyz
'x,y,z'
'x,-y,z'
'x+1/2,y+1/2,z'
'x+1/2,-y+1/2,z'
loop_
_atom_site_label
_atom_site_type_symbol
_atom_site_fract_x
_atom_site_fract_y
_atom_site_fract_z
_atom_site_occupancy
V1 V 0.000 0.000 0.000 1
V2 V 0.011 0.000 0.526 1
V3 V 0.182 0.500 0.182 1
V4 V 0.196 0.500 0.687 1
V5 V 0.339 0.000 0.866 1
V6 V 0.361 0.000 0.334 1
O1 O 0.014 0.299 0.017 1
O2 O 0.085 0.500 0.385 1
O3 O 0.184 0.200 0.682 1
O4 O 0.242 0.000 0.049 1
O5 O 0.279 0.500 0.982 1
O6 O 0.352 0.297 0.349 1
O7 O 0.417 0.500 0.712 1
F1 F 0.116 0.000 0.315 1
F2 F 0.451 0.000 0.650 1

---

Record 8
# V3O2F6 (PBEsol, optimized geometry)
# Energy relative to the lowest polymorph listed for this composition, eV per atom: 0.053
# Total magnetization, μB per cell: 10.00
# E_tot, eV/atom: -7.30
# Energy relative to the elements, uncorrected, meV/atom: -2667
data_V3O2F6
_chemical_formula_sum 'V6 O4 F12'
_symmetry_space_group_name_H-M 'P -1'
_symmetry_Int_Tables_number 2
_cell_length_a 5.065
_cell_length_b 7.065
_cell_length_c 7.395
_cell_angle_alpha 101.69
_cell_angle_beta 91.35
_cell_angle_gamma 90.21
loop_
_symmetry_equiv_pos_as_xyz
'x,y,z'
'-x,-y,-z'
loop_
_atom_site_label
_atom_site_type_symbol
_atom_site_fract_x
_atom_site_fract_y
_atom_site_fract_z
_atom_site_occupancy
V1 V 0.209 0.339 0.187 1
V2 V 0.250 0.315 0.688 1
V3 V 0.265 0.831 0.676 1
O1 O 0.096 0.570 0.706 1
O2 O 0.346 0.067 0.675 1
F1 F 0.051 0.090 0.188 1
F2 F 0.080 0.783 0.441 1
F3 F 0.114 0.325 0.935 1
F4 F 0.400 0.312 0.433 1
F5 F 0.419 0.570 0.204 1
F6 F 0.470 0.806 0.892 1